MnAgRu2 | PBE | relaxed

Cell: 4.756 4.756 4.756 Å, 131.91 131.91 70.38°
Fractional coordinates of all 4 atoms:
Mn  0.750  0.250  0.500
Ru  0.250  0.750  0.500
Ag  0.500  0.500  0.000
Ru  0.000  0.000  0.000

Values from the calculation:
DOS(E_F) = 1.107 states/eV per atom
ΔE to the lowest computed polymorph = 148.7 meV per atom
SG = No. 119
ΔH_f (0 K) = 1.6 eV per formula unit
crystal system = tetragonal

---

Mn2AgRu | PBE | relaxed

Cell: 4.956 4.956 4.593 Å, 74.15 74.15 33.93°
Fractional coordinates of all 4 atoms:
Mn  0.243  0.243  0.307
Mn  0.996  0.996  0.962
Ru  0.512  0.512  0.434
Ag  0.749  0.749  0.797

Values from the calculation:
DOS(E_F) = 0.925 states/eV per atom
SG = No. 8
ΔH_f (0 K) = 1.4 eV per formula unit
crystal system = monoclinic

---

MnAg2Ru | PBE | relaxed

Cell: 4.771 4.771 4.771 Å, 129.22 129.22 74.66°
Fractional coordinates of all 4 atoms:
Ag  0.000  0.000  0.000
Ru  0.750  0.250  0.500
Mn  0.500  0.500  0.000
Ag  0.250  0.750  0.500

Values from the calculation:
DOS(E_F) = 1.088 states/eV per atom
ΔE to the lowest computed polymorph = 202.5 meV per atom
SG = No. 119
ΔH_f (0 K) = 1.8 eV per formula unit
crystal system = tetragonal

---

Mn2AgRu2 | PBE | relaxed

Cell: 5.444 5.444 5.444 Å, 137.04 137.04 62.38°
Fractional coordinates of all 5 atoms:
Ag  0.000  0.000  0.000
Ru  0.750  0.250  0.500
Ru  0.250  0.750  0.500
Mn  0.609  0.609  0.000
Mn  0.391  0.391  0.000

Values from the calculation:
DOS(E_F) = 0.790 states/eV per atom
ΔE to the lowest computed polymorph = 171.7 meV per atom
SG = No. 139
ΔH_f (0 K) = 2.3 eV per formula unit
crystal system = tetragonal

---

Mn2AgRu | PBE | relaxed

Cell: 2.770 4.978 5.414 Å, 53.37 90.00 90.00°
Fractional coordinates of all 4 atoms:
Ru  0.500  0.500  0.500
Mn  0.000  0.000  0.000
Ag  0.000  0.000  0.500
Mn  0.500  0.500  0.000

Values from the calculation:
DOS(E_F) = 1.149 states/eV per atom
SG = No. 10
ΔH_f (0 K) = 1.7 eV per formula unit
crystal system = monoclinic

---

MnAg2Ru | PBE | relaxed

Cell: 5.047 5.047 2.756 Å, 90.00 90.00 114.07°
Fractional coordinates of all 4 atoms:
Ru  0.000  0.500  0.500
Mn  0.500  0.000  0.500
Ag  0.000  0.000  0.000
Ag  0.500  0.500  0.000

Values from the calculation:
DOS(E_F) = 0.992 states/eV per atom
ΔE to the lowest computed polymorph = 218.7 meV per atom
SG = No. 65
ΔH_f (0 K) = 1.8 eV per formula unit
crystal system = orthorhombic

---

Mn2AgRu2 | PBE | relaxed

Cell: 7.192 7.192 2.664 Å, 90.00 90.00 90.00°
Fractional coordinates of all 10 atoms:
Ru  0.833  0.333  0.500
Mn  0.118  0.382  0.000
Mn  0.882  0.618  0.000
Ru  0.167  0.667  0.500
Mn  0.618  0.118  0.000
Ag  0.000  0.000  0.000
Mn  0.382  0.882  0.000
Ag  0.500  0.500  0.000
Ru  0.333  0.167  0.500
Ru  0.667  0.833  0.500

Values from the calculation:
DOS(E_F) = 1.014 states/eV per atom
ΔE to the lowest computed polymorph = 0.0 meV per atom
SG = No. 127
ΔH_f (0 K) = 1.4 eV per formula unit
crystal system = tetragonal

---

Mn2AgRu | PBE | relaxed

Cell: 9.002 9.002 9.002 Å, 17.29 17.29 17.29°
Fractional coordinates of all 4 atoms:
Ag  0.252  0.252  0.252
Ru  0.491  0.491  0.491
Mn  0.008  0.008  0.008
Mn  0.749  0.749  0.749

Values from the calculation:
DOS(E_F) = 1.096 states/eV per atom
SG = No. 160
ΔH_f (0 K) = 1.2 eV per formula unit
crystal system = trigonal

---

Mn2AgRu | PBE | relaxed

Cell: 4.343 4.343 4.343 Å, 60.00 60.00 60.00°
Fractional coordinates of all 4 atoms:
Ru  0.750  0.750  0.750
Mn  0.000  0.000  0.000
Mn  0.250  0.250  0.250
Ag  0.500  0.500  0.500

Values from the calculation:
DOS(E_F) = 1.050 states/eV per atom
SG = No. 216
ΔH_f (0 K) = 2.1 eV per formula unit
crystal system = cubic

---

Mn2AgRu | PBE | relaxed

Cell: 4.824 4.824 4.824 Å, 133.20 133.20 68.34°
Fractional coordinates of all 4 atoms:
Mn  0.250  0.750  0.500
Ag  0.750  0.250  0.500
Ru  0.500  0.500  0.000
Mn  0.000  0.000  0.000

Values from the calculation:
DOS(E_F) = 1.643 states/eV per atom
SG = No. 119
ΔH_f (0 K) = 1.7 eV per formula unit
crystal system = tetragonal

---

Mn2AgRu | PBE | relaxed

Cell: 8.898 8.898 8.898 Å, 18.17 18.17 18.17°
Fractional coordinates of all 4 atoms:
Mn  0.005  0.005  0.005
Ag  0.250  0.250  0.250
Ru  0.750  0.750  0.750
Mn  0.495  0.495  0.495

Values from the calculation:
DOS(E_F) = 0.813 states/eV per atom
SG = No. 166
ΔH_f (0 K) = 1.3 eV per formula unit
crystal system = trigonal

---

MnAgRu4 | PBE | relaxed

Cell: 5.118 5.118 5.118 Å, 60.00 60.00 60.00°
Fractional coordinates of all 6 atoms:
Ru  0.375  0.875  0.375
Mn  0.000  0.000  0.000
Ru  0.375  0.375  0.875
Ru  0.875  0.375  0.375
Ru  0.375  0.375  0.375
Ag  0.750  0.750  0.750

Values from the calculation:
DOS(E_F) = 1.427 states/eV per atom
SG = No. 216
ΔH_f (0 K) = 3.5 eV per formula unit
crystal system = cubic

---

| no. | density (g cm⁻³) |
| --- | --- |
| 1 | 10.38 |
| 2 | 8.77 |
| 3 | 9.72 |
| 4 | 9.42 |
| 5 | 8.84 |
| 6 | 9.63 |
| 7 | 10.12 |
| 8 | 9.42 |
| 9 | 9.14 |
| 10 | 9.04 |
| 11 | 8.85 |
| 12 | 9.93 |